A plane-wave DFT calculation with PBE was carried out for Ca12Ag6Pd after structural relaxation.

Unit cell a=9.060 b=9.060 c=9.060 alpha=109.47 beta=109.47 gamma=109.47
Atoms (fractional coordinates):
Ag1 0.367 0.500 0.867
Ca1 0.287 0.468 0.181
Ca2 0.287 0.107 0.819
Ca3 0.181 0.713 0.893
Ca4 0.893 0.181 0.713
Ca5 0.819 0.287 0.107
Ca6 0.819 0.713 0.532
Ca7 0.107 0.819 0.287
Ca8 0.468 0.181 0.287
Ag2 0.133 0.633 0.500
Ag3 0.633 0.500 0.133
Ca9 0.713 0.893 0.181
Ca10 0.532 0.819 0.713
Ag4 0.500 0.867 0.367
Pd1 0.000 0.000 0.000
Ag5 0.500 0.133 0.633
Ag6 0.867 0.367 0.500
Ca11 0.181 0.287 0.468
Ca12 0.713 0.532 0.819

Computed properties:
The symmetry is No. 204. The calculated formation energy comes out at -0.2280 eV per atom. Its total energy is -2.666 eV per atom.

***

A plane-wave DFT calculation with PBE was carried out for ErHgPt after structural relaxation.

Unit cell a=4.695 b=4.695 c=4.695 alpha=60.00 beta=60.00 gamma=60.00
Atoms (fractional coordinates):
Hg1 0.000 0.000 0.000
Pt1 0.250 0.250 0.250
Er1 0.500 0.500 0.500

Computed properties:
The symmetry is No. 216. The calculated formation energy comes out at -0.7662 eV per atom. Its total energy is -4.401 eV per atom.

***

A plane-wave DFT calculation with PBE was carried out for MgSbPt2 after structural relaxation.

Unit cell a=4.120 b=3.611 c=5.269 alpha=75.41 beta=90.00 gamma=90.00
Atoms (fractional coordinates):
Sb1 0.000 0.485 0.422
Pt1 0.000 0.249 0.937
Pt2 0.500 0.999 0.301
Mg1 0.500 0.767 0.840

Computed properties:
For the formation energy without anion corrections, the calculation gives -0.53 eV/atom. The symmetry is No. 6. Its total energy is -4.982 eV per atom.